# HoMn2GeO6

HoMn2GeO6 after structural relaxation (PBE with a Hubbard U, Alexandria).

symmetry: R3, No. 146
Fermi-level density of states: 0.00 states/eV/f.u.
magnetic moment: 7.000 μB/cell
electronic total energy: -7.388 eV/atom
volume: 11.39 Å³ per atom

The structure in POSCAR format:
```
HoMn2GeO6
1.0
2.6107 1.5073 4.8256
-2.6107 1.5073 4.8256
0.0000 -3.0146 4.8256
Ho Mn Ge O
1 2 1 6
Direct
0.0000 0.0000 0.0000
0.2716 0.2716 0.2716
0.7980 0.7980 0.7980
0.4803 0.4803 0.4803
0.0860 0.6698 0.4327
0.2083 0.5897 0.8435
0.4327 0.0860 0.6698
0.5897 0.8435 0.2083
0.6698 0.4327 0.0860
0.8435 0.2083 0.5897
```